# 1
Here is crystalline LaTbSn2 at its relaxed geometry from Alexandria via LeMat-Bulk. Energies are from PBE.

The structure in POSCAR format:
```
LaTbSn2
1.0
-0.069 -4.680 0.023
1.023 0.006 4.263
-5.671 2.428 1.357
La Tb Sn
1 1 2
direct
0.447 0.500 0.432
0.716 0.000 0.973
0.173 0.500 0.886
0.994 0.000 0.527
```

Calculated total energy: -5.148 eV per atom

---

# 2
Here is crystalline LiNdAl2 at its relaxed geometry from Alexandria via LeMat-Bulk. Energies are from PBE.

The structure in POSCAR format:
```
LiNdAl2
1.0
4.965 0.000 0.000
2.482 4.300 0.000
2.482 1.433 4.054
Nd Al Li
1 2 1
direct
0.000 0.000 0.000
0.250 0.250 0.250
0.750 0.750 0.750
0.500 0.500 0.500
```

Energy above the lowest structure with this stoichiometry: 43 meV per atom
Calculated total energy: -3.754 eV per atom

---

# 3
Here is crystalline La8Pr3Nd2 at its relaxed geometry from Alexandria via LeMat-Bulk. Energies are from PBE.

The structure in POSCAR format:
```
La8Pr3Nd2
1.0
5.944 0.000 0.460
0.000 7.772 0.000
-0.823 -3.886 10.459
La Pr Nd
8 3 2
direct
0.002 0.674 0.348
0.998 0.326 0.652
0.998 0.136 0.272
0.002 0.864 0.728
0.500 0.599 0.790
0.500 0.191 0.790
0.500 0.809 0.210
0.500 0.401 0.210
0.500 0.000 0.000
0.000 0.282 0.000
0.000 0.718 0.000
0.497 0.243 0.486
0.503 0.757 0.514
```

Energy above the lowest structure with this stoichiometry: 46 meV per atom
Calculated total energy: -4.695 eV per atom

---

# 4
Here is crystalline Nd2Cu5Pt5 at its relaxed geometry from Alexandria via LeMat-Bulk. Energies are from PBE.

The structure in POSCAR format:
```
Nd2Cu5Pt5
1.0
-2.177 -0.659 3.420
2.795 -4.651 0.883
6.172 4.622 4.818
Nd Cu Pt
2 5 5
direct
0.000 0.500 0.000
0.000 0.000 0.500
0.000 0.500 0.330
0.000 0.000 0.844
0.000 0.000 0.156
0.000 0.500 0.670
0.500 0.000 0.000
0.500 0.500 0.500
0.500 0.750 0.241
0.500 0.250 0.759
0.500 0.250 0.241
0.500 0.750 0.759
```

Energy above the lowest structure with this stoichiometry: 0 meV per atom
Calculated total energy: -5.622 eV per atom

---

| no. | total moment (μB per atom) |
| --- | --- |
| 1 | 0.000 |
| 2 | 0.000 |
| 3 | 0.000 |
| 4 | 0.000 |